# 1
Material: NdY3
Method: DFT, GGA-PBEsol
State: relaxed

a = 7.1796 Å, b = 7.1796 Å, c = 5.6485 Å
α = 90.00°, β = 90.00°, γ = 120.00°
Fractional positions:
Nd 0.3333 0.6667 0.2500
Nd 0.6667 0.3333 0.7500
Y 0.1663 0.3327 0.7500
Y 0.1663 0.8337 0.7500
Y 0.3327 0.1663 0.2500
Y 0.6673 0.8337 0.7500
Y 0.8337 0.1663 0.2500
Y 0.8337 0.6673 0.2500

Results
V = 252.2 Å³ per cell
Density of states at the Fermi level = 7.2 states/eV/f.u.
Calculated formation energy = 0.0121 eV/atom


# 2
Material: Ta2Mo3
Method: DFT, GGA-PBEsol
State: relaxed

a = 6.9213 Å, b = 6.9213 Å, c = 2.7749 Å
α = 97.87°, β = 97.87°, γ = 37.70°
Fractional positions:
Ta 0.1013 0.1013 0.3932
Ta 0.8987 0.8987 0.6068
Mo 0.2990 0.2990 0.1903
Mo 0.5000 0.5000 0.0000
Mo 0.7010 0.7010 0.8097

Results
V = 80.4 Å³ per cell
Density of states at the Fermi level = 2.5 states/eV/f.u.
Calculated formation energy = -0.1135 eV/atom


# 3
Material: LaMg2In
Method: DFT, GGA-PBEsol
State: relaxed

a = 5.6674 Å, b = 5.6674 Å, c = 6.0139 Å
α = 101.82°, β = 101.82°, γ = 33.60°
Fractional positions:
La 0.0000 0.0000 0.0000
Mg 0.2355 0.2355 0.7200
Mg 0.7645 0.7645 0.2800
In 0.5000 0.5000 0.5000

Results
V = 104.4 Å³ per cell
Density of states at the Fermi level = 2.5 states/eV/f.u.
Calculated formation energy = -0.1577 eV/atom


# 4
Material: Li3W8O24
Method: DFT, GGA-PBEsol
State: relaxed

a = 6.4553 Å, b = 6.4553 Å, c = 10.5449 Å
α = 90.19°, β = 90.19°, γ = 70.53°
Fractional positions:
Li 0.0000 0.0000 0.0000
Li 0.2481 0.2481 0.2537
Li 0.7519 0.7519 0.7463
W 0.0000 0.5000 0.0000
W 0.0000 0.5000 0.5000
W 0.2510 0.7489 0.2521
W 0.2511 0.7490 0.7479
W 0.5000 0.0000 0.0000
W 0.5000 0.0000 0.5000
W 0.7489 0.2510 0.2521
W 0.7490 0.2511 0.7479
O 0.0019 0.0019 0.7119
O 0.0548 0.6424 0.8497
O 0.0998 0.6971 0.1008
O 0.1401 0.5590 0.3486
O 0.1844 0.6053 0.6059
O 0.2124 0.2124 0.5017
O 0.2905 0.2905 0.9989
O 0.3029 0.9002 0.8992
O 0.3576 0.9452 0.1503
O 0.3947 0.8156 0.3941
O 0.4410 0.8599 0.6514
O 0.4992 0.4992 0.7899
O 0.5008 0.5008 0.2101
O 0.5590 0.1401 0.3486
O 0.6053 0.1844 0.6059
O 0.6424 0.0548 0.8497
O 0.6971 0.0998 0.1008
O 0.7095 0.7095 0.0011
O 0.7876 0.7876 0.4983
O 0.8156 0.3947 0.3941
O 0.8599 0.4410 0.6514
O 0.9002 0.3029 0.8992
O 0.9452 0.3576 0.1503
O 0.9981 0.9981 0.2881

Results
V = 414.3 Å³ per cell
Final energy = -9.10 eV/atom
Density of states at the Fermi level = 4.4 states/eV/f.u.


# 5
Material: TmZn12
Method: DFT, GGA-PBEsol
State: relaxed

a = 6.6568 Å, b = 6.6568 Å, c = 6.6568 Å
α = 98.19°, β = 98.19°, γ = 135.66°
Fractional positions:
Tm 0.0000 0.0000 0.0000
Zn 0.0000 0.0000 0.5000
Zn 0.0000 0.3534 0.3534
Zn 0.0000 0.5000 0.0000
Zn 0.0000 0.6466 0.6466
Zn 0.2853 0.5000 0.7853
Zn 0.3534 0.0000 0.3534
Zn 0.5000 0.0000 0.0000
Zn 0.5000 0.2853 0.7853
Zn 0.5000 0.5000 0.5000
Zn 0.5000 0.7147 0.2147
Zn 0.6466 0.0000 0.6466
Zn 0.7147 0.5000 0.2147

Results
V = 190.9 Å³ per cell
Density of states at the Fermi level = 2.4 states/eV/f.u.
Calculated formation energy = -0.1841 eV/atom


# 6
Material: BaMn2IrS
Method: DFT, GGA-PBEsol
State: relaxed

a = 4.7528 Å, b = 4.7528 Å, c = 6.0455 Å
α = 90.00°, β = 90.00°, γ = 90.00°
Fractional positions:
Ba 0.0000 0.0000 0.0000
Mn 0.0000 0.5000 0.5000
Mn 0.5000 0.0000 0.5000
Ir 0.0000 0.0000 0.5000
S 0.5000 0.5000 0.0000

Results
V = 136.6 Å³ per cell
Final energy = -6.67 eV/atom
Density of states at the Fermi level = 4.0 states/eV/f.u.